No. 1
{
  "formula": "LiLaGe2Au4",
  "functional": "GGA-PBE",
  "state": "relaxed",
  "lattice_angstrom": [[2.2867, 1.3202, 8.7698], [-2.2867, 1.3202, 8.7698], [0.0000, -2.6404, 8.7698]],
  "species": ["Li", "La", "Ge", "Ge", "Au", "Au", "Au", "Au"],
  "fractional_positions": [[0.0000, 0.0000, 0.0000], [0.5000, 0.5000, 0.5000], [0.2580, 0.2580, 0.2580], [0.7420, 0.7420, 0.7420], [0.1011, 0.1011, 0.1011], [0.3619, 0.3619, 0.3619], [0.6381, 0.6381, 0.6381], [0.8989, 0.8989, 0.8989]],
  "crystal_system": "trigonal"
}


No. 2
{
  "formula": "LaLuGeAu",
  "functional": "GGA-PBE",
  "state": "relaxed",
  "lattice_angstrom": [[0.0000, 3.6617, 3.6617], [3.6617, 0.0000, 3.6617], [3.6617, 3.6617, 0.0000]],
  "species": ["La", "Lu", "Ge", "Au"],
  "fractional_positions": [[0.0000, 0.0000, 0.0000], [0.5000, 0.5000, 0.5000], [0.7500, 0.7500, 0.7500], [0.2500, 0.2500, 0.2500]],
  "crystal_system": "cubic"
}


No. 3
{
  "formula": "La2MgGe3Au4",
  "functional": "GGA-PBE",
  "state": "relaxed",
  "lattice_angstrom": [[4.4304, 0.0000, 0.0000], [0.0000, 4.4304, 0.0000], [0.0000, 0.0000, 11.0867]],
  "species": ["La", "La", "Mg", "Ge", "Ge", "Ge", "Au", "Au", "Au", "Au"],
  "fractional_positions": [[0.0000, 0.5000, 0.2320], [0.5000, 0.0000, 0.7680], [0.0000, 0.0000, 0.5000], [0.0000, 0.5000, 0.8642], [0.5000, 0.0000, 0.1358], [0.5000, 0.5000, 0.5000], [0.0000, 0.0000, 0.0000], [0.0000, 0.5000, 0.6360], [0.5000, 0.0000, 0.3640], [0.5000, 0.5000, 0.0000]],
  "crystal_system": "tetragonal"
}


No. 4
{
  "formula": "La2MgGe4Au3",
  "functional": "GGA-PBE",
  "state": "relaxed",
  "lattice_angstrom": [[4.3776, 0.0000, 0.0000], [0.0000, 4.3776, 0.0000], [0.0000, 0.0000, 11.3253]],
  "species": ["La", "La", "Mg", "Ge", "Ge", "Ge", "Ge", "Au", "Au", "Au"],
  "fractional_positions": [[0.0000, 0.5000, 0.2491], [0.5000, 0.0000, 0.7509], [0.0000, 0.0000, 0.5000], [0.0000, 0.0000, 0.0000], [0.0000, 0.5000, 0.6406], [0.5000, 0.0000, 0.3594], [0.5000, 0.5000, 0.0000], [0.0000, 0.5000, 0.8642], [0.5000, 0.0000, 0.1358], [0.5000, 0.5000, 0.5000]],
  "crystal_system": "tetragonal"
}


No. 5
{
  "formula": "LaMgGe2Au4",
  "functional": "GGA-PBE",
  "state": "relaxed",
  "lattice_angstrom": [[2.3296, 1.3450, 8.7113], [-2.3296, 1.3450, 8.7113], [0.0000, -2.6899, 8.7113]],
  "species": ["La", "Mg", "Ge", "Ge", "Au", "Au", "Au", "Au"],
  "fractional_positions": [[0.0000, 0.0000, 0.0000], [0.5000, 0.5000, 0.5000], [0.2489, 0.2489, 0.2489], [0.7511, 0.7511, 0.7511], [0.1389, 0.1389, 0.1389], [0.3961, 0.3961, 0.3961], [0.6039, 0.6039, 0.6039], [0.8611, 0.8611, 0.8611]],
  "crystal_system": "trigonal"
}


No. 6
{
  "formula": "LaMgGeAu",
  "functional": "GGA-PBE",
  "state": "relaxed",
  "lattice_angstrom": [[0.0000, 3.5929, 3.5929], [3.5929, 0.0000, 3.5929], [3.5929, 3.5929, 0.0000]],
  "species": ["La", "Mg", "Ge", "Au"],
  "fractional_positions": [[0.0000, 0.0000, 0.0000], [0.5000, 0.5000, 0.5000], [0.2500, 0.2500, 0.2500], [0.7500, 0.7500, 0.7500]],
  "crystal_system": "cubic"
}


The records above give, respectively, formation enthalpy at 0 K values of -3.8; -2.9; -6.6; -6.2; -3.6; -2.6 eV/f.u..